## PdSeS2N (PBE)

Data for an optimized crystal structure of PdSeS2N.

Cell: 4.8721 4.8721 3.5734 Å, 90.00 90.00 90.00°
With the nearest neighbours (Å) after each atom.
Space group P4/mmm (No. 123)
Unique sites:
Pd 0.0000 0.0000 0.0000 (multiplicity 1)  8 S 3.02
Se 0.5000 0.5000 0.5000 (multiplicity 1)  2 N 1.79
S 0.0000 0.5000 0.5000 (multiplicity 2)  2 Se 2.44
N 0.5000 0.5000 0.0000 (multiplicity 1)  2 Se 1.79

The density of states at the Fermi level is 1.016 states/eV/atom. For the total magnetization, the calculation gives 0.3 Bohr magnetons per cell. The distance to the lowest polymorph of the same formula is 0.187 eV per atom. As for the crystal system: tetragonal. The raw formation energy comes out at 1232 meV per atom.

## Cu3BiSe2ClO8 (PBE)

Data for an optimized crystal structure of Cu3BiSe2ClO8.

Cell: 6.4148 9.7666 7.3265 Å, 90.00 90.00 90.00°
With the nearest neighbours (Å) after each atom.
Space group Pmmn (No. 59, origin choice 2)
Unique sites:
Cu 0.0000 0.0000 0.0000 (multiplicity 4)  4 O 1.95-1.99
Cu 0.2500 0.2500 0.2057 (multiplicity 2)  4 O 1.97-1.98
Bi 0.2500 0.2500 0.7521 (multiplicity 2)  6 O 2.30-2.46
Se 0.2500 0.5566 0.3908 (multiplicity 4)  3 O 1.72-1.75
Cl 0.2500 0.7500 0.8460 (multiplicity 2)  6 Cu 3.13-3.23
O 0.0385 0.5839 0.2452 (multiplicity 8)  1 Se 1.75
O 0.2500 0.1138 0.0083 (multiplicity 4)  3 Cu 1.95-1.97
O 0.2500 0.1183 0.4114 (multiplicity 4)  1 Se 1.72

The density of states at the Fermi level is 0.007 states/eV/atom. For the total magnetization, the calculation gives 6.0 Bohr magnetons per cell. As for the crystal system: orthorhombic. The raw formation energy comes out at -791 meV per atom.

## RePSeO2 (PBE)

Data for an optimized crystal structure of RePSeO2.

Cell: 3.7314 3.7314 5.2474 Å, 90.00 90.00 90.00°
With the nearest neighbours (Å) after each atom.
Space group P4/mmm (No. 123)
Unique sites:
Re 0.0000 0.0000 0.0000 (multiplicity 1)  4 P 2.64
P 0.5000 0.5000 0.0000 (multiplicity 1)  2 Se 2.62, 4 Re 2.64
Se 0.5000 0.5000 0.5000 (multiplicity 1)  4 O 1.87
O 0.0000 0.5000 0.5000 (multiplicity 2)  2 Se 1.87

The density of states at the Fermi level is 0.364 states/eV/atom. For the total magnetization, the calculation gives 3.8 Bohr magnetons per cell. The distance to the lowest polymorph of the same formula is 1.321 eV per atom. As for the crystal system: tetragonal. The raw formation energy comes out at 673 meV per atom.